Here is a crystal of Sr2SmNbCu2O8 relaxed with PBEsol from Alexandria. Energies are from SCAN.

Cell lengths 5.451, 5.451, 12.210 Å; angles 102.90, 102.90, 90.00 degrees
Positions (direct):
Sr  0.400  0.900  0.799
Sr  0.600  0.100  0.201
Sr  0.900  0.400  0.799
Sr  0.100  0.600  0.201
Sm  0.750  0.250  0.500
Sm  0.250  0.750  0.500
Nb  0.500  0.500  0.000
Nb  0.000  0.000  0.000
Cu  0.320  0.320  0.639
Cu  0.180  0.180  0.361
Cu  0.680  0.680  0.361
Cu  0.820  0.820  0.639
O  0.323  0.177  0.000
O  0.177  0.677  0.000
O  0.823  0.323  0.000
O  0.677  0.823  0.000
O  0.063  0.066  0.629
O  0.937  0.934  0.371
O  0.434  0.437  0.371
O  0.437  0.937  0.371
O  0.934  0.434  0.371
O  0.066  0.566  0.629
O  0.563  0.063  0.629
O  0.566  0.563  0.629
O  0.915  0.915  0.830
O  0.585  0.585  0.170
O  0.085  0.085  0.170
O  0.415  0.415  0.830

Computed properties:
- Symmetry: No. 140
- E_form (uncorrected): -2.577 eV/atom

Here is a crystal of CuNi2HBr relaxed with PBEsol from Alexandria. Energies are from SCAN.

Cell lengths 3.524, 3.524, 4.544 Å; angles 90.00, 90.00, 90.00 degrees
Site moments in Bohr magnetons follow the coordinates.
Positions (direct):
Ni  0.000  0.500  0.000  0.70
Ni  0.500  0.000  0.000  0.70
Cu  0.500  0.500  0.500  0.03
Br  0.000  0.000  0.500  0.08
H  0.000  0.000  0.000  -0.01

Computed properties:
- Symmetry: No. 123
- Final energy: -13.48 eV/atom

Here is a crystal of ScAl5 relaxed with PBEsol from Alexandria. Energies are from SCAN.

Cell lengths 2.985, 5.515, 6.766 Å; angles 103.88, 90.00, 105.70 degrees
Positions (direct):
Sc  0.281  0.561  0.059
Al  0.003  0.007  0.998
Al  0.332  0.665  0.663
Al  0.661  0.323  0.333
Al  0.614  0.228  0.717
Al  0.942  0.883  0.398

Computed properties:
- DFT formation energy: -73.1 kJ/mol of formula units
- Energy above the lowest structure with this stoichiometry: 0.1210 eV/atom
- Symmetry: No. 8

Here is a crystal of CuIr2Os relaxed with PBEsol from Alexandria. Energies are from SCAN.

Cell lengths 3.737, 3.737, 4.679 Å; angles 113.54, 113.54, 90.00 degrees
Positions (direct):
Cu  0.250  0.750  0.500
Ir  0.000  0.000  0.000
Ir  0.750  0.250  0.500
Os  0.500  0.500  0.000

Computed properties:
- DFT formation energy: 73.4 kJ/mol of formula units
- Energy above the lowest structure with this stoichiometry: 0.1494 eV/atom
- Symmetry: No. 119

Here is a crystal of Cs2CaCl relaxed with PBEsol from Alexandria. Energies are from SCAN.

Cell lengths 6.795, 6.795, 6.795 Å; angles 60.00, 60.00, 60.00 degrees
Site moments in Bohr magnetons follow the coordinates.
Positions (direct):
Cs  0.250  0.250  0.250  0.02
Cs  0.750  0.750  0.750  0.02
Ca  0.500  0.500  0.500  0.09
Cl  0.000  0.000  0.000  0.02

Computed properties:
- Symmetry: No. 225
- E_form (uncorrected): -0.401 eV/atom

Here is a crystal of MgRe2Pt relaxed with PBEsol from Alexandria. Energies are from SCAN.

Cell lengths 3.311, 4.015, 4.500 Å; angles 90.00, 90.00, 90.00 degrees
Positions (direct):
Mg  0.500  0.000  0.500
Pt  0.000  0.500  0.500
Re  0.000  0.000  0.000
Re  0.500  0.500  0.000

Computed properties:
- DFT formation energy: -22.4 kJ/mol of formula units
- Symmetry: No. 47

Here is a crystal of Ce2SO2 relaxed with PBEsol from Alexandria. Energies are from SCAN.

Cell lengths 3.898, 3.898, 6.678 Å; angles 90.00, 90.00, 120.00 degrees
Site moments in Bohr magnetons follow the coordinates.
Positions (direct):
S  0.000  0.000  0.000  -0.03
O  0.667  0.333  0.371  -0.03
O  0.333  0.667  0.629  -0.03
Ce  0.333  0.667  0.279  0.87
Ce  0.667  0.333  0.721  0.87

Computed properties:
- Symmetry: No. 164
- E_form (uncorrected): -3.346 eV/atom

Here is a crystal of Cd3Ag relaxed with PBEsol from Alexandria. Energies are from SCAN.

Cell lengths 4.760, 4.760, 4.760 Å; angles 60.00, 60.00, 60.00 degrees
Positions (direct):
Ag  0.000  0.000  0.000
Cd  0.250  0.250  0.250
Cd  0.500  0.500  0.500
Cd  0.750  0.750  0.750

Computed properties:
- DFT formation energy: 3.8 kJ/mol of formula units
- Symmetry: No. 225

Here is a crystal of BaSrAl2 relaxed with PBEsol from Alexandria. Energies are from SCAN.

Cell lengths 4.166, 5.551, 6.355 Å; angles 115.90, 109.14, 90.00 degrees
Positions (direct):
Sr  0.278  0.778  0.555
Ba  0.471  0.471  0.942
Al  0.051  0.051  0.102
Al  0.701  0.201  0.401

Computed properties:
- DFT formation energy: -50.9 kJ/mol of formula units
- Energy above the lowest structure with this stoichiometry: 0.0173 eV/atom
- Symmetry: No. 44

Here is a crystal of Ba3As2O8 relaxed with PBEsol from Alexandria. Energies are from SCAN.

Cell lengths 5.772, 5.772, 7.844 Å; angles 68.41, 68.41, 60.00 degrees
Positions (direct):
As  0.408  0.408  0.777
As  0.592  0.592  0.223
Ba  0.000  0.000  0.000
Ba  0.206  0.206  0.382
Ba  0.794  0.794  0.618
O  0.273  0.759  0.696
O  0.759  0.273  0.696
O  0.273  0.273  0.696
O  0.727  0.241  0.304
O  0.727  0.727  0.304
O  0.241  0.727  0.304
O  0.327  0.327  0.018
O  0.673  0.673  0.982

Computed properties:
- Symmetry: No. 166
- E_form (uncorrected): -2.509 eV/atom

Here is a crystal of BaCaTe2 relaxed with PBEsol from Alexandria. Energies are from SCAN.

Cell lengths 4.688, 4.688, 8.134 Å; angles 73.25, 73.25, 60.00 degrees
Positions (direct):
Ca  0.500  0.500  0.500
Te  0.759  0.759  0.723
Te  0.241  0.241  0.277
Ba  0.000  0.000  0.000

Computed properties:
- Energy above the lowest structure with this stoichiometry: 0.0000 eV/atom
- Symmetry: No. 166
- E_form (uncorrected): -1.893 eV/atom

Here is a crystal of Mg2HgIr relaxed with PBEsol from Alexandria. Energies are from SCAN.

Cell lengths 4.471, 4.614, 4.471 Å; angles 61.02, 90.00, 118.98 degrees
Positions (direct):
Mg  0.250  0.500  0.250
Mg  0.750  0.500  0.750
Ir  0.000  0.000  0.000
Hg  0.500  0.000  0.500

Computed properties:
- DFT formation energy: -128.2 kJ/mol of formula units
- Energy above the lowest structure with this stoichiometry: 0.0978 eV/atom
- Symmetry: No. 139

Number 1: M_tot 0.0 μB per formula unit. Number 2: M_tot 1.5 μB per formula unit. Number 3: M_tot 0.0 μB per formula unit. Number 4: M_tot 0.0 μB per formula unit. Number 5: M_tot 1.0 μB per formula unit. Number 6: M_tot 0.0 μB per formula unit. Number 7: M_tot 2.0 μB per formula unit. Number 8: M_tot 0.0 μB per formula unit. Number 9: M_tot 0.0 μB per formula unit. Number 10: M_tot 0.0 μB per formula unit. Number 11: M_tot 0.0 μB per formula unit. Number 12: M_tot 0.0 μB per formula unit.